(1)
A relaxed structure of TiBiSe2. Source: the Alexandria database, functional PBE.

Output
D(E_F)	0.82	states/eV/atom
uncorrected formation energy	-1.2	eV/f.u.

Unit cell a=6.712 b=6.712 c=10.810 alpha=90.00 beta=90.00 gamma=90.00
Space group I-42d (No. 122)
Symmetry-distinct sites (fractional):
Ti 0.000 0.000 0.000
Bi 0.000 0.000 0.500
Se 0.181 0.250 0.125

(2)
A relaxed structure of TbYPd14. Source: the Alexandria database, functional PBE.

Output
D(E_F)	1.48	states/eV/atom
DFT total energy	-90.3	eV/cell

Unit cell a=5.759 b=5.759 c=7.990 alpha=90.00 beta=90.00 gamma=90.00
Space group P4/mmm (No. 123)
Symmetry-distinct sites (fractional):
Tb 0.000 0.000 0.000
Y 0.500 0.500 0.000
Pd 0.000 0.000 0.500
Pd 0.000 0.500 0.000
Pd 0.000 0.500 0.500
Pd 0.250 0.250 0.259
Pd 0.500 0.500 0.500

Magnetic moment? In order: 1.1, 0.0 μB per formula unit.